Below is a geometry-optimized Ba2IrO4 structure, with properties calculated at the PBE-GGA level.

abc: 4.060 4.060 7.341
angles: 73.95 73.95 90.00
Each line ends with the local moment (μB).
Element x y z (fractional)
Ir 0.000 0.000 0.000  0.07
Ba 0.355 0.355 0.290  0.00
Ba 0.645 0.645 0.710  0.00
O 0.154 0.154 0.691  0.00
O 0.846 0.846 0.309  0.00
O 0.000 0.500 0.000  0.01
O 0.500 0.000 0.000  0.01

## Properties
Calculated total energy   -45.486 eV/f.u.
DOS(E_F)   4.940 states/eV/f.u.
ΔE to the lowest computed polymorph   14.7 meV per atom
Uncorrected formation energy   -1850 meV/atom
Space-group type   I4/mmm, No. 139

---

Below is a geometry-optimized Ba5IrO6 structure, with properties calculated at the PBE-GGA level.

abc: 6.534 6.639 6.692
angles: 60.26 80.96 71.52
Each line ends with the local moment (μB).
Element x y z (fractional)
Ba 0.500 0.159 0.683  0.00
Ba 0.000 0.329 0.343  0.00
Ba 0.500 0.500 0.000  -0.01
Ba 0.000 0.671 0.657  0.00
Ba 0.500 0.841 0.317  0.00
Ir 0.000 0.000 0.000  0.86
O 0.743 0.091 0.327  0.04
O 0.257 0.582 0.327  0.04
O 0.205 0.212 0.000  0.00
O 0.795 0.788 0.000  0.00
O 0.743 0.418 0.673  0.04
O 0.257 0.909 0.673  0.04

## Properties
Calculated total energy   -70.286 eV/f.u.
DOS(E_F)   1.353 states/eV/f.u.
Uncorrected formation energy   -1838 meV/atom
Space-group type   C2/m, No. 12

---

Below is a geometry-optimized Ba6Ir3O14 structure, with properties calculated at the PBE-GGA level.

abc: 5.740 9.447 9.447
angles: 120.00 90.00 90.00
Each line ends with the local moment (μB).
Element x y z (fractional)
Ba 0.261 0.771 0.066  0.01
Ba 0.261 0.934 0.705  0.01
Ba 0.261 0.295 0.229  0.01
Ba 0.779 0.558 0.570  0.01
Ba 0.779 0.430 0.988  0.01
Ba 0.779 0.012 0.442  0.01
Ir 0.810 0.000 0.000  0.03
Ir 0.350 0.333 0.667  0.06
Ir 0.436 0.667 0.333  1.43
O 0.974 0.044 0.194  0.01
O 0.974 0.806 0.850  0.01
O 0.974 0.150 0.956  0.01
O 0.513 0.269 0.468  0.02
O 0.513 0.532 0.801  0.02
O 0.513 0.199 0.731  0.02
O 0.491 0.000 0.000  0.01
O 0.033 0.333 0.667  0.01
O 0.636 0.731 0.202  0.16
O 0.636 0.798 0.529  0.16
O 0.636 0.471 0.269  0.16
O 0.245 0.608 0.471  0.19
O 0.245 0.529 0.137  0.19
O 0.245 0.863 0.392  0.19

## Properties
Calculated total energy   -147.203 eV/f.u.
DOS(E_F)   6.552 states/eV/f.u.
Uncorrected formation energy   -1725 meV/atom
Space-group type   P3, No. 143

---

Below is a geometry-optimized BaIrO2 structure, with properties calculated at the PBE-GGA level.

abc: 4.837 4.837 7.071
angles: 70.00 70.00 90.00
Element x y z (fractional)
Ir 0.000 0.000 0.000
Ir 0.750 0.250 0.500
Ba 0.500 0.500 0.000
Ba 0.250 0.750 0.500
O 0.747 0.125 0.250
O 0.003 0.625 0.250
O 0.375 0.253 0.750
O 0.875 0.997 0.750

## Properties
Calculated total energy   -24.572 eV/f.u.
DOS(E_F)   4.033 states/eV/f.u.
Uncorrected formation energy   -968 meV/atom
Space-group type   I-42d, No. 122

---

Below is a geometry-optimized BaIrO2 structure, with properties calculated at the PBE-GGA level.

abc: 6.828 6.828 6.828
angles: 29.07 29.07 29.07
Element x y z (fractional)
Ir 0.500 0.500 0.500
Ba 0.000 0.000 0.000
O 0.871 0.871 0.871
O 0.129 0.129 0.129

## Properties
Calculated total energy   -23.208 eV/f.u.
DOS(E_F)   2.278 states/eV/f.u.
Uncorrected formation energy   -627 meV/atom
Space-group type   R-3m, No. 166

---

Below is a geometry-optimized BaIr3O structure, with properties calculated at the PBE-GGA level.

abc: 5.261 5.261 5.261
angles: 90.00 90.00 90.00
Each line ends with the local moment (μB).
Element x y z (fractional)
Ir 0.000 0.500 0.000  1.19
Ir 0.000 0.000 0.500  0.89
Ir 0.500 0.000 0.000  1.22
Ba 0.000 0.000 0.000  -0.08
O 0.500 0.500 0.500  1.29

## Properties
Calculated total energy   -16.778 eV/f.u.
DOS(E_F)   8.912 states/eV/f.u.
ΔE to the lowest computed polymorph   2547.2 meV per atom
Uncorrected formation energy   3337 meV/atom
Space-group type   Pm-3m, No. 221

---

Below is a geometry-optimized Ba3Ir2O7 structure, with properties calculated at the PBE-GGA level.

abc: 4.068 4.068 11.217
angles: 100.45 100.45 90.00
Element x y z (fractional)
Ba 0.316 0.316 0.632
Ba 0.684 0.684 0.368
Ba 0.500 0.500 0.000
Ir 0.096 0.096 0.192
Ir 0.904 0.904 0.808
O 0.000 0.000 0.000
O 0.904 0.404 0.808
O 0.404 0.904 0.808
O 0.096 0.596 0.192
O 0.596 0.096 0.192
O 0.190 0.190 0.381
O 0.810 0.810 0.619

## Properties
Calculated total energy   -78.497 eV/f.u.
DOS(E_F)   8.541 states/eV/f.u.
ΔE to the lowest computed polymorph   0.0 meV per atom
Uncorrected formation energy   -1692 meV/atom
Space-group type   I4/mmm, No. 139

---

Below is a geometry-optimized Ba3Ir2O7 structure, with properties calculated at the PBE-GGA level.

abc: 3.992 4.092 11.662
angles: 100.10 90.00 90.00
Element x y z (fractional)
Ba 0.500 0.500 0.000
Ba 0.500 0.675 0.349
Ba 0.500 0.325 0.651
Ir 0.000 0.909 0.817
Ir 0.000 0.091 0.183
O 0.000 0.407 0.815
O 0.000 0.820 0.639
O 0.000 0.000 0.000
O 0.000 0.593 0.185
O 0.500 0.092 0.184
O 0.500 0.908 0.816
O 0.000 0.180 0.361

## Properties
Calculated total energy   -77.813 eV/f.u.
DOS(E_F)   7.888 states/eV/f.u.
ΔE to the lowest computed polymorph   57.0 meV per atom
Uncorrected formation energy   -1635 meV/atom
Space-group type   Cmmm, No. 65